Below is a relaxed structure of Ni2MoRu, with properties calculated at the PBE level.

Summary:
The formation energy comes out at -0.034 eV per formula unit. The space group is Pmm2.

abc: 2.6831 4.2127 4.5455
angles: 90.00 90.00 90.00
Last column: nearest neighbours and their distance in Å.
Positions (direct):
Ni  0.0000  0.0000  0.0000  4 Ni 2.52-2.68, 4 Mo 2.60-2.68, 4 Ru 2.63
Ni  0.0000  0.5000  0.3061  4 Ni 2.52-2.68, 4 Ru 2.58-2.70, 4 Mo 2.63
Mo  0.5000  0.0000  0.4906  2 Ru 2.59, 8 Ni 2.60-2.68, 2 Mo 2.68
Ru  0.5000  0.5000  0.8217  8 Ni 2.58-2.70, 2 Mo 2.59, 2 Ru 2.68